(1)
A plane-wave DFT calculation with PBEsol was carried out for a relaxed AgMo4 crystal.

Properties
uncorrected energy = -45.623 eV for the cell shown
crystal system = tetragonal
energy of formation = 952 meV per atom
SG = No. 139

abc: 4.089 4.089 6.149
angles: 109.42 109.42 90.00
Positions (direct):
1 Ag 0.000 0.000 0.000
2 Mo 0.750 0.250 0.500
3 Mo 0.383 0.383 0.767
4 Mo 0.617 0.617 0.233
5 Mo 0.250 0.750 0.500

=====

(2)
A plane-wave DFT calculation with PBEsol was carried out for a relaxed YZr2Fe crystal.

Properties
uncorrected energy = -33.202 eV for the cell shown
crystal system = monoclinic
energy of formation = 191 meV per atom
energy above the most stable polymorph in this dataset = 0.60 eV/f.u.
SG = No. 6

abc: 3.262 4.181 6.274
angles: 90.00 103.03 90.00
Positions (direct):
1 Fe 0.966 0.000 0.446
2 Y 0.399 0.500 0.721
3 Zr 0.036 0.000 0.054
4 Zr 0.599 0.500 0.280

=====

(3)
A plane-wave DFT calculation with PBEsol was carried out for a relaxed SrTlAg4 crystal.

Properties
uncorrected energy = -18.814 eV for the cell shown
crystal system = cubic
energy of formation = -183 meV per atom
SG = No. 216

abc: 5.614 5.614 5.614
angles: 60.00 60.00 60.00
Positions (direct):
1 Sr 0.750 0.750 0.750
2 Tl 0.000 0.000 0.000
3 Ag 0.374 0.374 0.374
4 Ag 0.374 0.374 0.877
5 Ag 0.877 0.374 0.374
6 Ag 0.374 0.877 0.374

=====

(4)
A plane-wave DFT calculation with PBEsol was carried out for a relaxed Bi3OsPb crystal.

Properties
uncorrected energy = -18.193 eV for the cell shown
crystal system = cubic
energy of formation = 2175 meV per atom
SG = No. 221

abc: 5.681 5.681 5.681
angles: 90.00 90.00 90.00
Last column: magnetic moment on the atom in μB.
Positions (direct):
1 Pb 0.000 0.000 0.000  0.00
2 Os 0.500 0.500 0.500  2.69
3 Bi 0.000 0.500 0.000  -0.10
4 Bi 0.000 0.000 0.500  -0.10
5 Bi 0.500 0.000 0.000  -0.10

=====

(5)
A plane-wave DFT calculation with PBEsol was carried out for a relaxed KAuBr2 crystal.

Properties
uncorrected energy = -12.103 eV for the cell shown
crystal system = trigonal
energy above the most stable polymorph in this dataset = 0.00 eV/f.u.
SG = No. 166

abc: 5.244 5.244 7.922
angles: 70.67 70.67 60.00
Positions (direct):
1 K 0.500 0.500 0.500
2 Au 0.000 0.000 0.000
3 Br 0.892 0.892 0.325
4 Br 0.108 0.108 0.675

=====

(6)
A plane-wave DFT calculation with PBEsol was carried out for a relaxed CoReAs2 crystal.

Properties
uncorrected energy = -29.476 eV for the cell shown
crystal system = tetragonal
energy of formation = 451 meV per atom
energy above the most stable polymorph in this dataset = 1.43 eV/f.u.
SG = No. 119

abc: 3.605 3.605 5.004
angles: 111.11 111.11 90.00
Last column: magnetic moment on the atom in μB.
Positions (direct):
1 Re 0.250 0.750 0.500  0.38
2 As 0.000 0.000 0.000  0.00
3 As 0.750 0.250 0.500  0.00
4 Co 0.500 0.500 0.000  0.52

=====

(7)
A plane-wave DFT calculation with PBEsol was carried out for a relaxed BaLaTlSi2 crystal.

Properties
uncorrected energy = -18.151 eV for the cell shown
crystal system = tetragonal
SG = No. 123

abc: 5.268 5.268 5.817
angles: 90.00 90.00 90.00
Positions (direct):
1 Tl 0.000 0.000 0.000
2 Si 0.000 0.500 0.000
3 Si 0.500 0.000 0.000
4 Ba 0.000 0.000 0.500
5 La 0.500 0.500 0.500

=====

(8)
A plane-wave DFT calculation with PBEsol was carried out for a relaxed KZn2Bi2 crystal.

Properties
uncorrected energy = -13.570 eV for the cell shown
crystal system = tetragonal
energy of formation = -140 meV per atom
SG = No. 139

abc: 4.164 4.164 8.723
angles: 103.81 103.81 90.00
Positions (direct):
1 K 0.000 0.000 0.000
2 Zn 0.250 0.750 0.500
3 Zn 0.750 0.250 0.500
4 Bi 0.363 0.363 0.726
5 Bi 0.637 0.637 0.274